1.
DFT (GGA-PBE) results for a relaxed SbRu2Pb crystal.

Cell: 3.066 3.066 9.094 Å, 90.00 90.00 89.99°
Atoms (fractional coordinates):
Ru  0.500  0.500  0.221
Ru  0.000  0.000  0.046
Sb  0.000  0.000  0.416
Pb  0.500  0.500  0.817

Output
Uncorrected formation energy (eV per atom): 0.26
Crystal system: tetragonal
Total DFT energy (no corrections) (eV per atom): -6.33
DOS at the Fermi energy (states/eV per cell): 4.1
SG: P4mm, No. 99

=====

2.
DFT (GGA-PBE) results for a relaxed IrPb7 crystal.

Cell: 6.826 6.826 6.826 Å, 60.00 60.00 60.00°
Atoms (fractional coordinates):
Pb  0.500  0.000  0.500
Pb  0.000  0.500  0.000
Pb  0.000  0.000  0.500
Pb  0.500  0.500  0.500
Pb  0.500  0.500  0.000
Pb  0.500  0.000  0.000
Pb  0.000  0.500  0.500
Ir  0.000  0.000  0.000

Output
Crystal system: cubic
Total DFT energy (no corrections) (eV per atom): -4.04
DOS at the Fermi energy (states/eV per cell): 6.2
Energy relative to the elements (eV per atom): 0.309
SG: Fm-3m, No. 225

=====

3.
DFT (GGA-PBE) results for a relaxed CeNi4Mo crystal.

Cell: 4.933 4.933 4.933 Å, 60.00 60.00 60.00°
Atoms (fractional coordinates):
Ni  0.624  0.624  0.127
Ni  0.624  0.127  0.624
Ni  0.127  0.624  0.624
Ni  0.624  0.624  0.624
Mo  0.250  0.250  0.250
Ce  0.000  0.000  0.000

Output
Crystal system: cubic
Total DFT energy (no corrections) (eV per atom): -6.71
DOS at the Fermi energy (states/eV per cell): 4.5
Energy relative to the elements (eV per atom): -0.061
SG: F-43m, No. 216

=====

4.
DFT (GGA-PBE) results for a relaxed YTh9MgO20 crystal.

Cell: 6.930 7.974 8.918 Å, 102.77 97.21 106.35°
Atoms (fractional coordinates):
O  0.452  0.033  0.649
O  0.858  0.833  0.452
O  0.737  0.872  0.746
O  0.943  0.776  0.148
O  0.966  0.268  0.150
O  0.564  0.484  0.358
O  0.040  0.724  0.847
O  0.354  0.084  0.955
O  0.349  0.584  0.944
O  0.155  0.183  0.553
O  0.641  0.922  0.049
O  0.561  0.981  0.353
O  0.267  0.137  0.253
O  0.056  0.222  0.859
O  0.665  0.427  0.049
O  0.453  0.528  0.650
O  0.860  0.330  0.451
O  0.249  0.640  0.257
O  0.755  0.377  0.748
O  0.153  0.682  0.554
Th  0.000  0.508  0.999
Th  0.802  0.604  0.597
Th  0.410  0.306  0.794
Th  0.208  0.413  0.412
Th  0.203  0.910  0.396
Th  0.625  0.200  0.206
Th  0.595  0.695  0.200
Th  0.392  0.809  0.803
Th  0.806  0.102  0.605
Mg  0.239  0.267  0.081
Y  0.943  0.950  0.980

Output
Uncorrected formation energy (eV per atom): -3.64
Crystal system: triclinic
Total DFT energy (no corrections) (eV per atom): -9.25
SG: P1, No. 1
ΔE to the lowest computed polymorph (meV per atom): 0

=====

5.
DFT (GGA-PBE) results for a relaxed RhIBr2 crystal.

Cell: 11.025 11.025 11.025 Å, 19.24 19.24 19.24°
Atoms (fractional coordinates):
Br  0.122  0.122  0.122
Br  0.878  0.878  0.878
I  0.000  0.000  0.000
Rh  0.500  0.500  0.500

Output
Uncorrected formation energy (eV per atom): -0.01
Crystal system: trigonal
Total DFT energy (no corrections) (eV per atom): -3.07
DOS at the Fermi energy (states/eV per cell): 3.5
SG: R-3m, No. 166
ΔE to the lowest computed polymorph (meV per atom): 301

=====

6.
DFT (GGA-PBE) results for a relaxed Pr16Y6Ho7 crystal.

Cell: 11.382 11.382 11.382 Å, 60.00 60.00 60.00°
Atoms (fractional coordinates):
Ho  0.500  0.500  0.000
Ho  0.000  0.000  0.500
Ho  0.000  0.500  0.000
Ho  0.000  0.500  0.500
Ho  0.500  0.000  0.500
Ho  0.500  0.000  0.000
Ho  0.000  0.000  0.000
Pr  0.875  0.875  0.875
Pr  0.050  0.650  0.650
Pr  0.350  0.950  0.350
Pr  0.125  0.125  0.125
Pr  0.350  0.350  0.950
Pr  0.350  0.350  0.350
Pr  0.950  0.350  0.350
Pr  0.125  0.125  0.626
Pr  0.125  0.626  0.125
Pr  0.650  0.050  0.650
Pr  0.650  0.650  0.650
Pr  0.626  0.125  0.125
Pr  0.875  0.875  0.374
Pr  0.875  0.374  0.875
Pr  0.374  0.875  0.875
Pr  0.650  0.650  0.050
Y  0.268  0.268  0.732
Y  0.268  0.732  0.268
Y  0.732  0.732  0.268
Y  0.732  0.268  0.268
Y  0.732  0.268  0.732
Y  0.268  0.732  0.732

Output
Crystal system: cubic
Total DFT energy (no corrections) (eV per atom): -4.89
DOS at the Fermi energy (states/eV per cell): 41.1
Energy relative to the elements (eV per atom): 0.192
SG: Fm-3m, No. 225

=====

7.
DFT (GGA-PBE) results for a relaxed SnAsPd4 crystal.

Cell: 3.303 7.092 17.061 Å, 90.00 90.00 90.00°
Atoms (fractional coordinates):
Pd  0.750  0.957  0.932
Pd  0.750  0.457  0.568
Pd  0.750  0.399  0.059
Pd  0.750  0.899  0.441
Pd  0.750  0.339  0.841
Pd  0.250  0.601  0.941
Pd  0.750  0.482  0.290
Pd  0.250  0.518  0.710
Pd  0.250  0.543  0.432
Pd  0.250  0.018  0.790
Pd  0.250  0.161  0.341
Pd  0.250  0.043  0.068
Pd  0.750  0.982  0.210
Pd  0.250  0.661  0.159
Pd  0.750  0.839  0.659
Pd  0.250  0.101  0.559
As  0.750  0.259  0.446
As  0.250  0.241  0.946
As  0.250  0.741  0.554
As  0.750  0.759  0.054
Sn  0.250  0.790  0.312
Sn  0.250  0.290  0.188
Sn  0.750  0.710  0.812
Sn  0.750  0.210  0.688

Output
Crystal system: orthorhombic
Total DFT energy (no corrections) (eV per atom): -5.37
DOS at the Fermi energy (states/eV per cell): 7.7
Energy relative to the elements (eV per atom): -0.463
SG: Pnma, No. 62
ΔE to the lowest computed polymorph (meV per atom): 0

=====

8.
DFT (GGA-PBE) results for a relaxed Nd2TmScSe5 crystal.

Cell: 5.085 5.085 10.370 Å, 90.00 90.00 90.00°
Atoms (fractional coordinates):
Nd  0.500  0.500  0.291
Nd  0.500  0.500  0.709
Se  0.500  0.500  0.000
Se  0.000  0.000  0.761
Se  0.000  0.500  0.500
Se  0.500  0.000  0.500
Se  0.000  0.000  0.239
Tm  0.000  0.000  0.500
Sc  0.000  0.000  0.000

Output
Uncorrected formation energy (eV per atom): -1.25
Crystal system: tetragonal
Total DFT energy (no corrections) (eV per atom): -5.45
DOS at the Fermi energy (states/eV per cell): 6.4
SG: P4/mmm, No. 123

=====

Look up the total DFT energy (no corrections) of the third one. -6.71 eV per atom